A plane-wave DFT calculation with PBE was carried out for crystalline TlRu2Pt at its relaxed geometry.

## Properties
Energy relative to the elements in eV/atom: 0.474
Symmetry: Imm2 (44)
VASP energy in eV per atom: -6.2657

Cell lengths 5.615, 5.615, 5.615 Å; angles 150.18, 130.01, 59.31 degrees
Element x y z (fractional)
Tl 0.000 0.000 0.000
Ru 0.519 0.519 0.000
Ru 0.736 0.236 0.500
Pt 0.269 0.769 0.500